# PBE AcNdIr, relaxed
# ΔE to the lowest computed polymorph = 10.1 kJ/mol of atoms
data_AcNdIr
_symmetry_space_group_name_H-M 'P b c m'
_symmetry_Int_Tables_number 57
_symmetry_space_group_name_Hall '-P 2c 2b'
_cell_length_a 7.248
_cell_length_b 7.329
_cell_length_c 6.617
_cell_angle_alpha 90.00
_cell_angle_beta 90.00
_cell_angle_gamma 90.00
loop_
_atom_site_label
_atom_site_type_symbol
_atom_site_fract_x
_atom_site_fract_y
_atom_site_fract_z
Ac1 Ac 0.071 0.078 0.250
Nd1 Nd 0.438 0.052 0.750
Ir1 Ir 0.262 0.750 0.000


# PBE BaNbSN2, relaxed
# ΔE to the lowest computed polymorph = 248.0 kJ/mol of atoms
# Raw formation energy = 1876.3 meV/atom
data_BaNbSN2
_symmetry_space_group_name_H-M 'P 4/m m m'
_symmetry_Int_Tables_number 123
_symmetry_space_group_name_Hall '-P 4 2'
_cell_length_a 4.437
_cell_length_b 4.437
_cell_length_c 5.918
_cell_angle_alpha 90.00
_cell_angle_beta 90.00
_cell_angle_gamma 90.00
loop_
_atom_site_label
_atom_site_type_symbol
_atom_site_fract_x
_atom_site_fract_y
_atom_site_fract_z
Ba1 Ba 0.000 0.000 0.000
Nb1 Nb 0.500 0.500 0.500
S1 S 0.000 0.000 0.500
N1 N 0.000 0.500 0.000